# 1
This record from the Alexandria database describes a geometry-optimized BaCaRu2 structure. The functional is PBE-GGA.

Cell lengths 5.050, 5.050, 5.050 Å; angles 60.00, 60.00, 60.00 degrees
Sites, in units of the cell vectors:
1 Ru 0.750 0.750 0.750
2 Ru 0.000 0.000 0.000
3 Ca 0.250 0.250 0.250
4 Ba 0.500 0.500 0.500

## Properties
**Density**: 6.92 Mg/m³
**Space-group type**: F-43m, No. 216
**Fermi-level density of states**: 1.362 states/eV per atom
**Electronic total energy**: -4.789 eV per atom
**Crystal system**: cubic
**V**: 91 Å³/cell
**E_form**: 80 kJ/mol of atoms

***

# 2
This record from the Alexandria database describes a geometry-optimized TlBi6Pb2 structure. The functional is PBE-GGA.

Cell lengths 4.484, 9.755, 9.755 Å; angles 51.23, 76.63, 76.63 degrees
Sites, in units of the cell vectors:
1 Bi 0.311 0.994 0.386
2 Bi 0.500 0.707 0.293
3 Bi 0.500 0.293 0.707
4 Bi 0.689 0.006 0.614
5 Bi 0.311 0.386 0.994
6 Bi 0.689 0.614 0.006
7 Pb 0.885 0.615 0.615
8 Pb 0.115 0.385 0.385
9 Tl 0.000 0.000 0.000

## Properties
**Density**: 9.67 Mg/m³
**Space-group type**: C2/m, No. 12
**Fermi-level density of states**: 0.537 states/eV per atom
**Electronic total energy**: -3.587 eV per atom
**Crystal system**: monoclinic
**V**: 322 Å³/cell
**E_form**: 8 kJ/mol of atoms

***

# 3
This record from the Alexandria database describes a geometry-optimized K2FeCl structure. The functional is PBE-GGA.

Cell lengths 5.760, 5.760, 3.838 Å; angles 89.86, 89.86, 90.03 degrees
Sites, in units of the cell vectors:
1 K 0.500 0.500 0.000
2 K 0.000 0.000 0.000
3 Cl 0.500 0.000 0.500
4 Fe 0.000 0.500 0.500

## Properties
**Density**: 2.21 Mg/m³
**Space-group type**: C2/m, No. 12
**Fermi-level density of states**: 0.351 states/eV per atom
**Electronic total energy**: -3.188 eV per atom
**Crystal system**: monoclinic
**V**: 127 Å³/cell

***

# 4
This record from the Alexandria database describes a geometry-optimized AgTe3Se structure. The functional is PBE-GGA.

Cell lengths 3.749, 6.065, 16.304 Å; angles 95.34, 90.00, 90.00 degrees
Sites, in units of the cell vectors:
1 Te 0.250 0.967 0.363
2 Te 0.250 0.814 0.960
3 Te 0.750 0.527 0.628
4 Te 0.750 0.033 0.637
5 Te 0.250 0.473 0.372
6 Te 0.750 0.186 0.040
7 Se 0.750 0.751 0.845
8 Se 0.250 0.249 0.155
9 Ag 0.250 0.225 0.520
10 Ag 0.750 0.775 0.480

## Properties
**Density**: 5.13 Mg/m³
**Space-group type**: P2_1/m, No. 11
**Fermi-level density of states**: 0.355 states/eV per atom
**Electronic total energy**: -3.014 eV per atom
**Crystal system**: monoclinic
**V**: 369 Å³/cell

***

# 5
This record from the Alexandria database describes a geometry-optimized RbTlOF2 structure. The functional is PBE-GGA.

Cell lengths 5.084, 5.084, 4.557 Å; angles 90.00, 90.00, 90.00 degrees
Sites, in units of the cell vectors:
1 O 0.000 0.000 0.500
2 Tl 0.500 0.500 0.500
3 F 0.500 0.000 0.000
4 F 0.000 0.500 0.000
5 Rb 0.000 0.000 0.000

## Properties
**Density**: 4.85 Mg/m³
**Space-group type**: P4/mmm, No. 123
**Fermi-level density of states**: 2.284 states/eV per atom
**Electronic total energy**: -3.213 eV per atom
**Crystal system**: tetragonal
**V**: 118 Å³/cell

***

# 6
This record from the Alexandria database describes a geometry-optimized Zr2InMo structure. The functional is PBE-GGA.

Cell lengths 5.662, 5.662, 4.657 Å; angles 65.72, 65.72, 37.87 degrees
Sites, in units of the cell vectors:
1 Zr 0.983 0.983 0.017
2 Zr 0.747 0.747 0.753
3 Mo 0.257 0.257 0.243
4 In 0.513 0.513 0.487

## Properties
**Density**: 7.91 Mg/m³
**Space-group type**: Imm2, No. 44
**Fermi-level density of states**: 1.264 states/eV per atom
**Electronic total energy**: -7.683 eV per atom
**Crystal system**: orthorhombic
**V**: 83 Å³/cell
**E_form**: -2 kJ/mol of atoms

***

# 7
This record from the Alexandria database describes a geometry-optimized KTl3B4O12 structure. The functional is PBE-GGA.

Cell lengths 6.619, 6.619, 6.619 Å; angles 101.87, 101.87, 101.87 degrees
Sites, in units of the cell vectors:
1 O 0.804 0.006 0.606
2 O 0.634 0.500 0.366
3 O 0.366 0.634 0.500
4 O 0.095 0.905 0.500
5 O 0.500 0.366 0.634
6 O 0.394 0.994 0.196
7 O 0.606 0.804 0.006
8 O 0.196 0.394 0.994
9 O 0.500 0.095 0.905
10 O 0.994 0.196 0.394
11 O 0.006 0.606 0.804
12 O 0.905 0.500 0.095
13 Tl 0.461 0.000 0.539
14 Tl 0.000 0.539 0.461
15 Tl 0.539 0.461 0.000
16 K 0.000 0.000 0.000
17 B 0.500 0.959 0.041
18 B 0.959 0.041 0.500
19 B 0.041 0.500 0.959
20 B 0.500 0.500 0.500

## Properties
**Density**: 5.49 Mg/m³
**Space-group type**: R32, No. 155
**Fermi-level density of states**: 0.214 states/eV per atom
**Electronic total energy**: -6.232 eV per atom
**Crystal system**: trigonal
**V**: 268 Å³/cell

***

# 8
This record from the Alexandria database describes a geometry-optimized Ta2AgMo structure. The functional is PBE-GGA.

Cell lengths 3.342, 3.342, 6.269 Å; angles 90.00, 90.00, 90.00 degrees
Sites, in units of the cell vectors:
1 Ta 0.500 0.500 0.242
2 Ta 0.000 0.000 0.990
3 Mo 0.500 0.500 0.767
4 Ag 0.000 0.000 0.501

## Properties
**Density**: 13.42 Mg/m³
**Space-group type**: P4mm, No. 99
**Fermi-level density of states**: 1.455 states/eV per atom
**Electronic total energy**: -9.082 eV per atom
**Crystal system**: tetragonal
**V**: 70 Å³/cell
**E_form**: 26 kJ/mol of atoms

***

# 9
This record from the Alexandria database describes a geometry-optimized CuPb2W structure. The functional is PBE-GGA.

Cell lengths 5.199, 5.199, 3.068 Å; angles 90.00, 90.00, 89.96 degrees
Sites, in units of the cell vectors:
1 Pb 0.000 0.000 0.000
2 Pb 0.500 0.500 0.000
3 W 0.500 0.000 0.500
4 Cu 0.000 0.500 0.500

## Properties
**Density**: 13.26 Mg/m³
**Space-group type**: P4/mmm, No. 123
**Fermi-level density of states**: 0.778 states/eV per atom
**Electronic total energy**: -5.207 eV per atom
**Crystal system**: tetragonal
**V**: 83 Å³/cell
**E_form**: 88 kJ/mol of atoms

***

# 10
This record from the Alexandria database describes a geometry-optimized NaCaRhPb structure. The functional is PBE-GGA.

Cell lengths 4.984, 4.984, 4.984 Å; angles 60.00, 60.00, 60.00 degrees
Sites, in units of the cell vectors:
1 Ca 0.750 0.750 0.750
2 Pb 0.250 0.250 0.250
3 Rh 0.500 0.500 0.500
4 Na 0.000 0.000 0.000

## Properties
**Density**: 7.08 Mg/m³
**Space-group type**: F-43m, No. 216
**Fermi-level density of states**: 0.836 states/eV per atom
**Electronic total energy**: -3.794 eV per atom
**Crystal system**: cubic
**V**: 88 Å³/cell
**E_form**: -19 kJ/mol of atoms

***

# 11
This record from the Alexandria database describes a geometry-optimized Hf6Tc2O structure. The functional is PBE-GGA.

Cell lengths 5.878, 6.318, 9.114 Å; angles 90.00, 93.68, 90.00 degrees
Sites, in units of the cell vectors:
1 O 0.000 0.000 0.500
2 O 0.500 0.500 0.000
3 Hf 0.670 0.180 0.951
4 Hf 0.174 0.313 0.049
5 Hf 0.330 0.820 0.049
6 Hf 0.826 0.687 0.951
7 Hf 0.326 0.813 0.451
8 Hf 0.881 0.975 0.254
9 Hf 0.619 0.475 0.246
10 Hf 0.830 0.680 0.549
11 Hf 0.381 0.525 0.754
12 Hf 0.674 0.187 0.549
13 Hf 0.170 0.320 0.451
14 Hf 0.119 0.025 0.746
15 Tc 0.065 0.603 0.237
16 Tc 0.435 0.103 0.263
17 Tc 0.935 0.397 0.763
18 Tc 0.565 0.897 0.737

## Properties
**Density**: 12.61 Mg/m³
**Space-group type**: P2_1/c, No. 14
**Fermi-level density of states**: 0.747 states/eV per atom
**Electronic total energy**: -10.153 eV per atom
**Crystal system**: monoclinic
**V**: 338 Å³/cell

***

Question: Among the records above, which one has the highest V?
Answer: AgTe3Se